(1)
VASP calculation (PBE) on a geometry-optimized ThCdSnAu structure.

Cell: 5.199 5.199 5.199 Å, 60.00 60.00 60.00°
Positions (direct):
Au 0.000 0.000 0.000
Sn 0.500 0.500 0.500
Th 0.250 0.250 0.250
Cd 0.750 0.750 0.750

Calculated values
For the electronic total energy, the calculation gives -4.2546 eV per atom. Its formation enthalpy at 0 K is -0.35 eV/atom. As for the total magnetic moment: 0.00 μB/f.u.


(2)
VASP calculation (PBE) on a geometry-optimized TlCdSnAu structure.

Cell: 5.183 5.183 5.183 Å, 60.00 60.00 60.00°
Positions (direct):
Tl 0.500 0.500 0.500
Au 0.250 0.250 0.250
Sn 0.000 0.000 0.000
Cd 0.750 0.750 0.750

Calculated values
For the electronic total energy, the calculation gives -2.5711 eV per atom. Its formation enthalpy at 0 K is 0.07 eV/atom. As for the total magnetic moment: 0.00 μB/f.u.


(3)
VASP calculation (PBE) on a geometry-optimized TlCd2SnAu4 structure.

Cell: 4.742 4.742 9.333 Å, 75.28 75.28 60.00°
Positions (direct):
Tl 0.000 0.000 0.000
Cd 0.748 0.748 0.755
Cd 0.252 0.252 0.245
Sn 0.500 0.500 0.500
Au 0.385 0.385 0.846
Au 0.875 0.875 0.375
Au 0.125 0.125 0.625
Au 0.615 0.615 0.154

Calculated values
For the electronic total energy, the calculation gives -2.7174 eV per atom. Its formation enthalpy at 0 K is -0.05 eV/atom. As for the total magnetic moment: 0.00 μB/f.u.


(4)
VASP calculation (PBE) on a geometry-optimized Tl2CdSnAu2 structure.

Cell: 4.537 7.713 8.678 Å, 90.00 90.00 90.00°
Positions (direct):
Tl 0.500 0.026 0.103
Tl 0.000 0.339 0.170
Tl 0.500 0.526 0.897
Tl 0.000 0.839 0.830
Cd 0.000 0.003 0.434
Cd 0.000 0.503 0.566
Sn 0.500 0.126 0.696
Sn 0.500 0.626 0.304
Au 0.000 0.270 0.829
Au 0.500 0.281 0.412
Au 0.000 0.770 0.171
Au 0.500 0.781 0.588

Calculated values
For the electronic total energy, the calculation gives -2.7664 eV per atom. Its formation enthalpy at 0 K is -0.07 eV/atom. As for the total magnetic moment: 0.00 μB/f.u.


(5)
VASP calculation (PBE) on a geometry-optimized TmCdSnAu structure.

Cell: 5.047 5.047 5.047 Å, 60.00 60.00 60.00°
Positions (direct):
Tm 0.250 0.250 0.250
Au 0.500 0.500 0.500
Sn 0.000 0.000 0.000
Cd 0.750 0.750 0.750

Calculated values
For the electronic total energy, the calculation gives -3.6113 eV per atom. Its formation enthalpy at 0 K is -0.44 eV/atom. As for the total magnetic moment: 0.00 μB/f.u.


(6)
VASP calculation (PBE) on a geometry-optimized Tm2CdSnAu4 structure.

Cell: 4.906 4.906 8.532 Å, 73.29 73.29 60.00°
Positions (direct):
Tm 0.749 0.749 0.753
Tm 0.251 0.251 0.247
Cd 0.500 0.500 0.500
Sn 0.000 0.000 0.000
Au 0.378 0.378 0.867
Au 0.872 0.872 0.384
Au 0.128 0.128 0.616
Au 0.622 0.622 0.133

Calculated values
For the electronic total energy, the calculation gives -4.0417 eV per atom. Its formation enthalpy at 0 K is -0.67 eV/atom. As for the total magnetic moment: 0.00 μB/f.u.


(7)
VASP calculation (PBE) on a geometry-optimized YCdSnAu structure.

Cell: 5.089 5.089 5.089 Å, 60.00 60.00 60.00°
Positions (direct):
Y 0.750 0.750 0.750
Au 0.500 0.500 0.500
Sn 0.000 0.000 0.000
Cd 0.250 0.250 0.250

Calculated values
For the electronic total energy, the calculation gives -4.1343 eV per atom. Its formation enthalpy at 0 K is -0.47 eV/atom. As for the total magnetic moment: 0.00 μB/f.u.


(8)
VASP calculation (PBE) on a geometry-optimized ZnCd2SnAu structure.

Cell: 5.265 4.898 5.265 Å, 90.00 90.00 90.00°
Positions (direct):
Zn 0.000 0.500 0.000
Au 0.000 0.000 0.000
Sn 0.500 0.500 0.500
Cd 0.000 0.000 0.500
Cd 0.500 0.000 0.000

Calculated values
For the electronic total energy, the calculation gives -1.8802 eV per atom. Its formation enthalpy at 0 K is 0.20 eV/atom. As for the total magnetic moment: 0.00 μB/f.u.


(9)
VASP calculation (PBE) on a geometry-optimized Zn2CdSn2Au5 structure.

Cell: 3.936 10.099 10.099 Å, 90.00 90.00 90.00°
Positions (direct):
Zn 0.000 0.133 0.633
Zn 0.000 0.867 0.367
Zn 0.000 0.633 0.867
Zn 0.000 0.367 0.133
Cd 0.000 0.000 0.000
Cd 0.000 0.500 0.500
Sn 0.000 0.675 0.175
Sn 0.000 0.325 0.825
Sn 0.000 0.175 0.325
Sn 0.000 0.825 0.675
Au 0.500 0.211 0.023
Au 0.500 0.789 0.977
Au 0.500 0.023 0.789
Au 0.500 0.711 0.477
Au 0.500 0.977 0.211
Au 0.500 0.289 0.523
Au 0.500 0.523 0.711
Au 0.500 0.477 0.289
Au 0.500 0.500 0.000
Au 0.500 0.000 0.500

Calculated values
For the electronic total energy, the calculation gives -2.8692 eV per atom. Its formation enthalpy at 0 K is -0.08 eV/atom. As for the total magnetic moment: 0.00 μB/f.u.


(10)
VASP calculation (PBE) on a geometry-optimized Zn2CdSnAu structure.

Cell: 4.931 5.450 4.931 Å, 90.00 90.00 90.00°
Positions (direct):
Zn 0.000 0.000 0.500
Zn 0.500 0.000 0.000
Au 0.000 0.000 0.000
Sn 0.000 0.500 0.000
Cd 0.500 0.500 0.500

Calculated values
For the electronic total energy, the calculation gives -1.9736 eV per atom. Its formation enthalpy at 0 K is 0.18 eV/atom. As for the total magnetic moment: 0.00 μB/f.u.